1.
A plane-wave DFT calculation with GGA-PBE was carried out for a relaxed structure of LuMgBPt.

As for the offset from the most stable computed form: 0 meV per atom.

It has space group F-43m (No. 216), with a = 6.4145 Å, b = 6.4145 Å, c = 6.4145 Å, α = 90.00°, β = 90.00° and γ = 90.00°. The inequivalent atoms are Lu at (0.0000, 0.0000, 0.0000), Mg at (0.0000, 0.0000, 0.5000), B at (0.2500, 0.2500, 0.2500) and Pt at (0.2500, 0.2500, 0.7500).

---

2.
A plane-wave DFT calculation with GGA-PBE was carried out for a relaxed structure of LuMgBPt.

As for the offset from the most stable computed form: 148 meV per atom.

It has space group F-43m (No. 216), with a = 6.2332 Å, b = 6.2332 Å, c = 6.2332 Å, α = 90.00°, β = 90.00° and γ = 90.00°. The inequivalent atoms are Lu at (0.0000, 0.0000, 0.0000), Mg at (0.2500, 0.2500, 0.2500), B at (0.2500, 0.2500, 0.7500) and Pt at (0.0000, 0.0000, 0.5000).

---

3.
A plane-wave DFT calculation with GGA-PBE was carried out for a relaxed structure of LuMgBPt.

As for the offset from the most stable computed form: 281 meV per atom.

It has space group F-43m (No. 216), with a = 6.2907 Å, b = 6.2907 Å, c = 6.2907 Å, α = 90.00°, β = 90.00° and γ = 90.00°. The inequivalent atoms are Lu at (0.0000, 0.0000, 0.0000), Mg at (0.2500, 0.2500, 0.2500), B at (0.0000, 0.0000, 0.5000) and Pt at (0.2500, 0.2500, 0.7500).

---

4.
A plane-wave DFT calculation with GGA-PBE was carried out for a relaxed structure of LuB3Mo.

The value obtained for the electronic total energy is -0.569 Ry per atom.

It has space group P2_1/m (No. 11), with a = 5.3700 Å, b = 3.1392 Å, c = 6.7537 Å, α = 90.00°, β = 101.21° and γ = 90.00°. The inequivalent atoms are Lu at (0.1786, 0.2500, 0.2103), B at (0.0840, 0.7500, 0.4920), B at (0.4123, 0.7500, 0.4948), B at (0.4158, 0.7500, 0.9774) and Mo at (0.3087, 0.2500, 0.7220).

---

no.,total magnetization (μB/f.u.)
1,0.001
2,0.000
3,0.000
4,0.003